Record 1
4
Lattice="0.0000 3.0936 3.0936 3.0936 0.0000 3.0936 3.0936 3.0936 0.0000" Properties=species:S:1:pos:R:3 comment="BeTlCuOs, optimized geometry, DFT GGA-PBE" m_tot_mub_per_fu=0.002 relative_energy_ev_per_atom=0.041 pbc="T T T"
Be 0.0000 0.0000 0.0000
Tl 3.0936 3.0936 3.0936
Cu 4.6405 4.6405 4.6405
Os 1.5468 1.5468 1.5468

Record 2
4
Lattice="0.0000 3.0508 3.0508 3.0508 0.0000 3.0508 3.0508 3.0508 0.0000" Properties=species:S:1:pos:R:3 comment="BeTlCuOs, optimized geometry, DFT GGA-PBE" m_tot_mub_per_fu=0.002 relative_energy_ev_per_atom=0.000 pbc="T T T"
Be 0.0000 0.0000 0.0000
Tl 1.5254 1.5254 1.5254
Cu 3.0508 3.0508 3.0508
Os 4.5763 4.5763 4.5763

Record 3
5
Lattice="3.7587 0.0000 0.0000 -1.8794 3.2552 0.0000 0.0000 0.0000 5.8265" Properties=species:S:1:pos:R:3 comment="BeCuP2Pd, optimized geometry, DFT GGA-PBE" total_energy_ha_per_atom=-0.17462 pbc="T T T"
Be 0.0000 0.0000 0.0000
Cu 1.8794 1.0850 4.2732
P 0.0000 0.0000 3.5349
P 1.8794 1.0850 0.6909
Pd 0.0000 2.1701 2.2810

Record 4
3
Lattice="0.0000 3.1527 3.1527 3.1527 0.0000 3.1527 3.1527 3.1527 0.0000" Properties=species:S:1:pos:R:3 comment="PaBeCu, optimized geometry, DFT GGA-PBE" m_tot_mub_per_fu=0.034 relative_energy_ev_per_atom=0.623 pbc="T T T"
Pa 0.0000 0.0000 0.0000
Be 4.7291 4.7291 4.7291
Cu 1.5764 1.5764 1.5764

Record 5
3
Lattice="0.0000 2.9977 2.9977 2.9977 0.0000 2.9977 2.9977 2.9977 0.0000" Properties=species:S:1:pos:R:3 comment="PaBeCu, optimized geometry, DFT GGA-PBE" m_tot_mub_per_fu=0.003 relative_energy_ev_per_atom=0.000 pbc="T T T"
Pa 0.0000 0.0000 0.0000
Be 4.4965 4.4965 4.4965
Cu 2.9977 2.9977 2.9977

Record 6
3
Lattice="0.0000 3.0501 3.0501 3.0501 0.0000 3.0501 3.0501 3.0501 0.0000" Properties=species:S:1:pos:R:3 comment="PaBeCu, optimized geometry, DFT GGA-PBE" m_tot_mub_per_fu=0.006 relative_energy_ev_per_atom=0.008 pbc="T T T"
Pa 0.0000 0.0000 0.0000
Be 3.0501 3.0501 3.0501
Cu 4.5752 4.5752 4.5752

Record 7
4
Lattice="0.0000 3.1429 3.1429 3.1429 0.0000 3.1429 3.1429 3.1429 0.0000" Properties=species:S:1:pos:R:3 comment="BeCuPdPb, optimized geometry, DFT GGA-PBE" relative_energy_ev_per_atom=0.000 pbc="T T T"
Be 0.0000 0.0000 0.0000
Cu 3.1429 3.1429 3.1429
Pd 1.5714 1.5714 1.5714
Pb 4.7143 4.7143 4.7143

Record 8
4
Lattice="0.0000 3.1636 3.1636 3.1636 0.0000 3.1636 3.1636 3.1636 0.0000" Properties=species:S:1:pos:R:3 comment="BeCuPdPb, optimized geometry, DFT GGA-PBE" relative_energy_ev_per_atom=0.008 pbc="T T T"
Be 0.0000 0.0000 0.0000
Cu 4.7453 4.7453 4.7453
Pd 1.5818 1.5818 1.5818
Pb 3.1636 3.1636 3.1636

Record 9
4
Lattice="0.0000 3.1008 3.1008 3.1008 0.0000 3.1008 3.1008 3.1008 0.0000" Properties=species:S:1:pos:R:3 comment="BeCuRePb, optimized geometry, DFT GGA-PBE" m_tot_mub_per_fu=0.001 relative_energy_ev_per_atom=0.016 pbc="T T T"
Be 0.0000 0.0000 0.0000
Cu 3.1008 3.1008 3.1008
Re 4.6513 4.6513 4.6513
Pb 1.5504 1.5504 1.5504

Record 10
4
Lattice="0.0000 3.1366 3.1366 3.1366 0.0000 3.1366 3.1366 3.1366 0.0000" Properties=species:S:1:pos:R:3 comment="BeCuRePb, optimized geometry, DFT GGA-PBE" m_tot_mub_per_fu=0.006 relative_energy_ev_per_atom=0.000 pbc="T T T"
Be 0.0000 0.0000 0.0000
Cu 4.7048 4.7048 4.7048
Re 1.5683 1.5683 1.5683
Pb 3.1366 3.1366 3.1366

Record 11
4
Lattice="0.0000 3.2851 3.2851 3.2851 0.0000 3.2851 3.2851 3.2851 0.0000" Properties=species:S:1:pos:R:3 comment="ScBeCuPb, optimized geometry, DFT GGA-PBE" m_tot_mub_per_fu=0.001 relative_energy_ev_per_atom=0.078 pbc="T T T"
Sc 0.0000 0.0000 0.0000
Be 4.9277 4.9277 4.9277
Cu 3.2851 3.2851 3.2851
Pb 1.6426 1.6426 1.6426

Record 12
4
Lattice="0.0000 3.2554 3.2554 3.2554 0.0000 3.2554 3.2554 3.2554 0.0000" Properties=species:S:1:pos:R:3 comment="ScBeCuPb, optimized geometry, DFT GGA-PBE" m_tot_mub_per_fu=0.001 relative_energy_ev_per_atom=0.000 pbc="T T T"
Sc 0.0000 0.0000 0.0000
Be 1.6277 1.6277 1.6277
Cu 4.8831 4.8831 4.8831
Pb 3.2554 3.2554 3.2554

Record 13
4
Lattice="0.0000 3.2748 3.2748 3.2748 0.0000 3.2748 3.2748 3.2748 0.0000" Properties=species:S:1:pos:R:3 comment="ScBeCuPb, optimized geometry, DFT GGA-PBE" m_tot_mub_per_fu=0.000 relative_energy_ev_per_atom=0.051 pbc="T T T"
Sc 0.0000 0.0000 0.0000
Be 3.2748 3.2748 3.2748
Cu 1.6374 1.6374 1.6374
Pb 4.9122 4.9122 4.9122

Record 14
4
Lattice="0.0000 3.3130 3.3130 3.3130 0.0000 3.3130 3.3130 3.3130 0.0000" Properties=species:S:1:pos:R:3 comment="ZrBeCuPb, optimized geometry, DFT GGA-PBE" m_tot_mub_per_fu=0.003 relative_energy_ev_per_atom=0.112 pbc="T T T"
Zr 0.0000 0.0000 0.0000
Be 4.9695 4.9695 4.9695
Cu 3.3130 3.3130 3.3130
Pb 1.6565 1.6565 1.6565

Record 15
4
Lattice="0.0000 3.2711 3.2711 3.2711 0.0000 3.2711 3.2711 3.2711 0.0000" Properties=species:S:1:pos:R:3 comment="ZrBeCuPb, optimized geometry, DFT GGA-PBE" m_tot_mub_per_fu=0.004 relative_energy_ev_per_atom=0.000 pbc="T T T"
Zr 0.0000 0.0000 0.0000
Be 4.9066 4.9066 4.9066
Cu 1.6355 1.6355 1.6355
Pb 3.2711 3.2711 3.2711

Record 16
4
Lattice="0.0000 2.8208 2.8208 2.8208 0.0000 2.8208 2.8208 2.8208 0.0000" Properties=species:S:1:pos:R:3 comment="Be2CuPd, optimized geometry, DFT GGA-PBE" total_energy_ha_per_atom=-0.15431 pbc="T T T"
Be 0.0000 0.0000 0.0000
Be 1.4104 1.4104 1.4104
Cu 2.8208 2.8208 2.8208
Pd 4.2313 4.2313 4.2313

Record 17
4
Lattice="0.0000 2.9748 2.9748 2.9748 0.0000 2.9748 2.9748 2.9748 0.0000" Properties=species:S:1:pos:R:3 comment="BeCuPd2, optimized geometry, DFT GGA-PBE" total_energy_ha_per_atom=-0.16704 pbc="T T T"
Be 0.0000 0.0000 0.0000
Cu 1.4874 1.4874 1.4874
Pd 2.9748 2.9748 2.9748
Pd 4.4622 4.4622 4.4622

Record 18
4
Lattice="0.0000 3.1192 3.1192 3.1192 0.0000 3.1192 3.1192 3.1192 0.0000" Properties=species:S:1:pos:R:3 comment="BeCuSbPd, optimized geometry, DFT GGA-PBE" relative_energy_ev_per_atom=0.000 pbc="T T T"
Be 0.0000 0.0000 0.0000
Cu 4.6788 4.6788 4.6788
Sb 3.1192 3.1192 3.1192
Pd 1.5596 1.5596 1.5596

Record 19
4
Lattice="0.0000 2.9183 2.9183 2.9183 0.0000 2.9183 2.9183 2.9183 0.0000" Properties=species:S:1:pos:R:3 comment="BeCuSiPd, optimized geometry, DFT GGA-PBE" relative_energy_ev_per_atom=0.187 pbc="T T T"
Be 0.0000 0.0000 0.0000
Cu 2.9183 2.9183 2.9183
Si 4.3774 4.3774 4.3774
Pd 1.4591 1.4591 1.4591

Record 20
4
Lattice="0.0000 2.8889 2.8889 2.8889 0.0000 2.8889 2.8889 2.8889 0.0000" Properties=species:S:1:pos:R:3 comment="BeCuSiPd, optimized geometry, DFT GGA-PBE" relative_energy_ev_per_atom=0.000 pbc="T T T"
Be 0.0000 0.0000 0.0000
Cu 4.3334 4.3334 4.3334
Si 2.8889 2.8889 2.8889
Pd 1.4445 1.4445 1.4445

Record 21
3
Lattice="0.0000 3.1642 3.1642 3.1642 0.0000 3.1642 3.1642 3.1642 0.0000" Properties=species:S:1:pos:R:3 comment="PrBeCu, optimized geometry, DFT GGA-PBE" m_tot_mub_per_fu=0.020 relative_energy_ev_per_atom=0.000 pbc="T T T"
Pr 0.0000 0.0000 0.0000
Be 3.1642 3.1642 3.1642
Cu 4.7463 4.7463 4.7463

Record 22
3
Lattice="0.0000 3.2699 3.2699 3.2699 0.0000 3.2699 3.2699 3.2699 0.0000" Properties=species:S:1:pos:R:3 comment="PrBeCu, optimized geometry, DFT GGA-PBE" m_tot_mub_per_fu=0.003 relative_energy_ev_per_atom=0.457 pbc="T T T"
Pr 0.0000 0.0000 0.0000
Be 4.9049 4.9049 4.9049
Cu 1.6350 1.6350 1.6350

Record 23
6
Lattice="4.0469 0.0000 0.0000 -2.0235 3.5047 0.0000 0.0000 0.0000 8.5965" Properties=species:S:1:pos:R:3 comment="Pr2BeCuSi2, optimized geometry, DFT GGA-PBE" m_tot_mub_per_fu=0.024 total_energy_ha_per_atom=-0.19149 pbc="T T T"
Pr 0.0000 0.0000 2.1354
Pr 0.0000 0.0000 6.4611
Be 0.0000 2.3365 0.0000
Cu 2.0235 1.1682 4.2982
Si 0.0000 2.3365 4.2982
Si 2.0235 1.1682 0.0000

Record 24
3
Lattice="0.0000 2.6682 2.6682 2.6682 0.0000 2.6682 2.6682 2.6682 0.0000" Properties=species:S:1:pos:R:3 comment="BeCuPt, optimized geometry, DFT GGA-PBE" m_tot_mub_per_fu=0.000 relative_energy_ev_per_atom=0.000 pbc="T T T"
Be 0.0000 0.0000 0.0000
Cu 4.0023 4.0023 4.0023
Pt 1.3341 1.3341 1.3341

Record 25
4
Lattice="0.0000 2.7767 2.7767 2.7767 0.0000 2.7767 2.7767 2.7767 0.0000" Properties=species:S:1:pos:R:3 comment="Be2CuPt, optimized geometry, DFT GGA-PBE" m_tot_mub_per_fu=0.001 relative_energy_ev_per_atom=0.000 pbc="T T T"
Be 1.3884 1.3884 1.3884
Be 4.1651 4.1651 4.1651
Cu 0.0000 0.0000 0.0000
Pt 2.7767 2.7767 2.7767

Record 26
4
Lattice="-1.9599 1.9656 2.7809 1.9599 -1.9656 2.7809 1.9599 1.9656 -2.7809" Properties=species:S:1:pos:R:3 comment="Be2CuPt, optimized geometry, DFT GGA-PBE" m_tot_mub_per_fu=0.000 relative_energy_ev_per_atom=0.000 pbc="T T T"
Be 0.0000 0.0000 1.3926
Be 0.0000 0.0000 4.1691
Cu 0.0000 1.9656 0.0000
Pt 1.9599 0.0000 0.0000

Record 27
4
Lattice="0.0000 2.8755 2.8755 2.8755 0.0000 2.8755 2.8755 2.8755 0.0000" Properties=species:S:1:pos:R:3 comment="BeCu2Pt, optimized geometry, DFT GGA-PBE" m_tot_mub_per_fu=0.001 total_energy_ha_per_atom=-0.16683 pbc="T T T"
Be 0.0000 0.0000 0.0000
Cu 2.8755 2.8755 2.8755
Cu 4.3133 4.3133 4.3133
Pt 1.4378 1.4378 1.4378

Record 28
4
Lattice="2.7885 -2.7957 0.0000 2.7885 2.7957 0.0000 0.0000 0.0000 2.7643" Properties=species:S:1:pos:R:3 comment="Be2CuPt, optimized geometry, DFT GGA-PBE" m_tot_mub_per_fu=0.001 relative_energy_ev_per_atom=0.035 pbc="T T T"
Be 1.3943 1.3978 0.0000
Be 1.3943 -1.3978 0.0000
Cu 0.0000 0.0000 1.3822
Pt 2.7885 0.0000 1.3822